This record from Alexandria describes crystalline Y2ZnP at its relaxed geometry. The functional is PBE.

a b c (Å): 3.531 3.531 7.835
angles (deg): 90.00 90.00 103.92
Fractional positions:
Y: 0.000 0.000 0.000
Y: 0.500 0.500 0.370
Zn: 0.000 0.000 0.617
P: 0.500 0.500 0.779

The density of states at the Fermi level comes out at 2.7 states/eV/cell. The value obtained for the relative energy among the computed polymorphs is 0.517 eV per atom.


This record from Alexandria describes crystalline YZnP3 at its relaxed geometry. The functional is PBE.

a b c (Å): 4.652 4.652 4.652
angles (deg): 90.00 90.00 90.00
Fractional positions:
Y: 0.000 0.000 0.000
Zn: 0.500 0.500 0.500
P: 0.000 0.500 0.500
P: 0.500 0.000 0.500
P: 0.500 0.500 0.000

The density of states at the Fermi level comes out at 3.2 states/eV/cell. The value obtained for the relative energy among the computed polymorphs is 0.000 eV per atom.


This record from Alexandria describes crystalline YZn3P at its relaxed geometry. The functional is PBE.

a b c (Å): 5.438 5.438 5.438
angles (deg): 90.00 90.00 90.00
Fractional positions:
Y: 0.000 0.000 0.000
Zn: 0.000 0.000 0.500
Zn: 0.000 0.500 0.000
Zn: 0.500 0.000 0.000
P: 0.500 0.500 0.500

The density of states at the Fermi level comes out at 6.3 states/eV/cell. The value obtained for the relative energy among the computed polymorphs is 1.080 eV per atom.


no.,calculated formation energy (eV/f.u.),total DFT energy (no corrections) (eV per cell),mass density (Mg/m³)
1,-1.48,-21.1,4.80
2,0.71,-23.3,4.08
3,6.19,-9.5,3.26